Entry 1:
Material: ZnAg2Os
Method: DFT, PBE-GGA
State: relaxed

Output
- Uncorrected energy: -4.28 eV/atom
- Space-group type: R3m, No. 160
- DFT formation energy: 0.267 eV per atom
- DOS at the Fermi energy: 0.658 states/eV/atom
- Spin magnetization: 0.3 μB per cell

abc: 9.4082 9.4082 9.4082
angles: 17.15 17.15 17.15
Element x y z (fractional)
Ag 0.0038 0.0038 0.0038
Ag 0.2486 0.2486 0.2486
Os 0.4955 0.4955 0.4955
Zn 0.7521 0.7521 0.7521

Entry 2:
Material: Pm9Pr2Sm
Method: DFT, PBE-GGA
State: relaxed

Output
- Uncorrected energy: -4.74 eV/atom
- Space-group type: P4/mmm, No. 123
- DFT formation energy: 0.015 eV per atom
- DOS at the Fermi energy: 1.643 states/eV/atom
- Spin magnetization: 0.0 μB per cell

abc: 5.1707 5.1707 15.5132
angles: 90.00 90.00 90.00
Element x y z (fractional)
Pm 0.0000 0.5000 0.8347
Pm 0.5000 0.5000 0.6673
Pm 0.5000 0.5000 0.0000
Pm 0.0000 0.5000 0.1653
Pm 0.5000 0.0000 0.8347
Pm 0.5000 0.0000 0.5000
Pm 0.5000 0.5000 0.3327
Pm 0.5000 0.0000 0.1653
Pm 0.0000 0.5000 0.5000
Sm 0.0000 0.0000 0.0000
Pr 0.0000 0.0000 0.6673
Pr 0.0000 0.0000 0.3327

Entry 3:
Material: Cs2NbZnSi
Method: DFT, PBE-GGA
State: relaxed

Output
- Uncorrected energy: -2.85 eV/atom
- Space-group type: P4/mmm, No. 123
- Energy relative to the elements, uncorrected: 0.847 eV/atom
- DOS at the Fermi energy: 0.635 states/eV/atom
- Spin magnetization: 3.3 μB per cell

abc: 7.2065 5.0207 7.2065
angles: 90.00 90.00 90.00
Element x y z (fractional)
Cs 0.5000 0.0000 0.0000
Cs 0.0000 0.0000 0.5000
Si 0.0000 0.0000 0.0000
Nb 0.0000 0.5000 0.0000
Zn 0.5000 0.5000 0.5000

Entry 4:
Material: BaGeO3
Method: DFT, PBE-GGA
State: relaxed

Output
- Uncorrected energy: -6.34 eV/atom
- Space-group type: Pmma, No. 51
- Energy relative to the elements, uncorrected: -2.056 eV/atom
- DOS at the Fermi energy: 0.000 states/eV/atom
- Spin magnetization: 0.0 μB per cell

abc: 3.2648 7.0405 6.9223
angles: 90.00 90.00 90.01
Element x y z (fractional)
O 0.4997 0.3052 0.0486
O 0.9996 0.0184 0.2500
O 0.0004 0.9816 0.7500
O 0.5003 0.6948 0.9514
O 0.5003 0.6948 0.5486
O 0.4997 0.3052 0.4514
Ge 0.4996 0.1556 0.2500
Ge 0.5004 0.8444 0.7500
Ba 0.0002 0.6202 0.2500
Ba 0.9998 0.3798 0.7500

Entry 5:
Material: Al2GaMo
Method: DFT, PBE-GGA
State: relaxed

Output
- Uncorrected energy: -5.38 eV/atom
- Space-group type: P4mm, No. 99
- DFT formation energy: -0.042 eV per atom
- DOS at the Fermi energy: 0.644 states/eV/atom
- Spin magnetization: 0.0 μB per cell

abc: 3.7518 3.7521 4.4263
angles: 90.00 90.00 90.00
Element x y z (fractional)
Mo 0.5000 0.9704 0.8835
Al 0.5000 0.4705 0.4313
Al 0.0000 0.9704 0.4312
Ga 0.0000 0.4704 0.9858

Entry 6:
Material: RbB3As
Method: DFT, PBE-GGA
State: relaxed

Output
- Uncorrected energy: -1.71 eV/atom
- Space-group type: Pm-3m, No. 221
- DFT formation energy: 3.415 eV per atom
- DOS at the Fermi energy: 0.555 states/eV/atom
- Spin magnetization: 0.5 μB per cell

abc: 4.8716 4.8716 4.8716
angles: 90.00 90.00 90.00
Element x y z (fractional)
As 0.5000 0.5000 0.5000
B 0.5000 0.0000 0.0000
B 0.0000 0.0000 0.5000
B 0.0000 0.5000 0.0000
Rb 0.0000 0.0000 0.0000

Entry 7:
Material: MgBe2InAu
Method: DFT, PBE-GGA
State: relaxed

Output
- Uncorrected energy: -2.72 eV/atom
- Space-group type: P4/mmm, No. 123
- DFT formation energy: 0.295 eV per atom
- DOS at the Fermi energy: 0.345 states/eV/atom
- Spin magnetization: 0.0 μB per cell

abc: 4.5290 4.5290 5.2110
angles: 90.00 90.00 90.00
Element x y z (fractional)
Au 0.0000 0.0000 0.0000
In 0.5000 0.5000 0.5000
Mg 0.0000 0.0000 0.5000
Be 0.0000 0.5000 0.0000
Be 0.5000 0.0000 0.0000

Entry 8:
Material: Tb7CeNd4
Method: DFT, PBE-GGA
State: relaxed

Output
- Uncorrected energy: -4.68 eV/atom
- Space-group type: P-1, No. 2
- DFT formation energy: 0.106 eV per atom
- DOS at the Fermi energy: 1.973 states/eV/atom
- Spin magnetization: 1.3 μB per cell

abc: 6.8851 8.8593 9.1656
angles: 84.19 94.87 47.49
Element x y z (fractional)
Tb 0.7370 0.5104 0.9492
Tb 0.2929 0.8118 0.6157
Tb 0.0139 0.6785 0.3611
Tb 0.2630 0.4896 0.0508
Tb 0.9861 0.3215 0.6389
Tb 0.5000 0.0000 0.0000
Tb 0.7071 0.1882 0.3843
Nd 0.2227 0.1643 0.3096
Nd 0.4592 0.3553 0.7201
Nd 0.5408 0.6447 0.2799
Nd 0.7773 0.8357 0.6904
Ce 0.0000 0.0000 0.0000

Entry 9:
Material: Ta2Rh
Method: DFT, PBE-GGA
State: relaxed

Output
- Uncorrected energy: -10.56 eV/atom
- Space-group type: I4_1/amd, No. 141
- DFT formation energy: -0.210 eV per atom
- DOS at the Fermi energy: 1.106 states/eV/atom
- Spin magnetization: 0.0 μB per cell

abc: 13.4103 13.4103 13.4103
angles: 163.15 163.15 23.92
Element x y z (fractional)
Ta 0.5863 0.5863 0.0000
Ta 0.7480 0.7480 0.0000
Ta 0.2520 0.2520 0.0000
Ta 0.4980 0.9980 0.5000
Ta 0.1637 0.6637 0.5000
Ta 0.4137 0.4137 0.0000
Ta 0.0020 0.5020 0.5000
Ta 0.3363 0.8363 0.5000
Rh 0.6645 0.1645 0.5000
Rh 0.8355 0.3355 0.5000
Rh 0.9145 0.9145 0.0000
Rh 0.0855 0.0855 0.0000

Entry 10:
Material: NaTmLu
Method: DFT, PBE-GGA
State: relaxed

Output
- Uncorrected energy: -3.27 eV/atom
- Space-group type: P3m1, No. 156
- DFT formation energy: 0.170 eV per atom
- DOS at the Fermi energy: 1.505 states/eV/atom
- Spin magnetization: 0.5 μB per cell

abc: 3.4535 3.4535 9.1569
angles: 90.00 90.00 120.00
Element x y z (fractional)
Lu 0.3333 0.6667 0.6478
Tm 0.6667 0.3333 0.3530
Na 0.0000 0.0000 0.9991

Entry 11:
Material: Ta2MoAs
Method: DFT, PBE-GGA
State: relaxed

Output
- Uncorrected energy: -9.55 eV/atom
- Space-group type: R-3m, No. 166
- DFT formation energy: 0.247 eV per atom
- DOS at the Fermi energy: 0.913 states/eV/atom
- Spin magnetization: 0.0 μB per cell

abc: 9.5514 9.5514 9.5514
angles: 17.51 17.51 17.51
Element x y z (fractional)
Mo 0.7500 0.7500 0.7500
Ta 0.9963 0.9963 0.9963
Ta 0.5037 0.5037 0.5037
As 0.2500 0.2500 0.2500

Entry 12:
Material: PmY5Hg6
Method: DFT, PBE-GGA
State: relaxed

Output
- Uncorrected energy: -3.74 eV/atom
- Space-group type: P2/m, No. 10
- DFT formation energy: -0.502 eV per atom
- DOS at the Fermi energy: 1.018 states/eV/atom
- Spin magnetization: 0.5 μB per cell

abc: 5.2724 7.5154 8.3606
angles: 90.00 108.12 90.00
Element x y z (fractional)
Y 0.6650 0.5000 0.3302
Y 0.6678 0.0000 0.3356
Y 0.3322 0.0000 0.6644
Y 0.0000 0.5000 0.0000
Y 0.3350 0.5000 0.6698
Hg 0.5000 0.2545 0.0000
Hg 0.1686 0.2542 0.3376
Hg 0.1686 0.7458 0.3376
Hg 0.5000 0.7455 0.0000
Hg 0.8314 0.2542 0.6624
Hg 0.8314 0.7458 0.6624
Pm 0.0000 0.0000 0.0000

Entry 13:
Material: LiTlH2Br
Method: DFT, PBE-GGA
State: relaxed

Output
- Uncorrected energy: -2.71 eV/atom
- Space-group type: Amm2, No. 38
- DOS at the Fermi energy: 0.263 states/eV/atom
- Spin magnetization: 0.0 μB per cell

abc: 4.2288 4.9518 4.2313
angles: 90.00 90.00 90.00
Element x y z (fractional)
Br 0.3374 0.5000 0.3143
H 0.8345 0.0000 0.3181
H 0.3337 0.0000 0.8171
Li 0.3312 0.0000 0.3204
Tl 0.8324 0.0000 0.8195

Entry 14:
Material: Er2Pu3ScTe6
Method: DFT, PBE-GGA
State: relaxed

Output
- Uncorrected energy: -7.60 eV/atom
- Space-group type: C2/m, No. 12
- Energy relative to the elements, uncorrected: -1.157 eV/atom
- DOS at the Fermi energy: 2.695 states/eV/atom
- Spin magnetization: 18.0 μB per cell

abc: 4.3219 8.7544 9.7660
angles: 104.06 102.78 90.00
Element x y z (fractional)
Te 0.3312 0.4208 0.6624
Te 0.9997 0.7626 0.9994
Te 0.6612 0.0857 0.3223
Te 0.0003 0.2374 0.0006
Te 0.6688 0.5792 0.3376
Te 0.3388 0.9143 0.6777
Pu 0.1688 0.8350 0.3376
Pu 0.8312 0.1650 0.6624
Pu 0.5000 0.5000 0.0000
Er 0.1654 0.3323 0.3308
Er 0.8346 0.6677 0.6692
Sc 0.5000 0.0000 0.0000

Entry 15:
Material: Ac2HoAl
Method: DFT, PBE-GGA
State: relaxed

Output
- Uncorrected energy: -4.16 eV/atom
- Space-group type: P4/mmm, No. 123
- DFT formation energy: -0.027 eV per atom
- DOS at the Fermi energy: 1.505 states/eV/atom
- Spin magnetization: 0.0 μB per cell

abc: 4.9950 5.1717 5.1717
angles: 90.00 90.00 90.00
Element x y z (fractional)
Ac 0.0000 0.5000 0.0000
Ac 0.0000 0.0000 0.5000
Ho 0.5000 0.5000 0.5000
Al 0.5000 0.0000 0.0000

Entry 16:
Material: KLiTl2
Method: DFT, PBE-GGA
State: relaxed

Output
- Uncorrected energy: -1.97 eV/atom
- Space-group type: Imm2, No. 44
- DFT formation energy: -0.036 eV per atom
- DOS at the Fermi energy: 0.430 states/eV/atom
- Spin magnetization: 0.0 μB per cell

abc: 6.7240 6.7240 6.7240
angles: 148.71 127.45 62.45
Element x y z (fractional)
Li 0.7847 0.2847 0.5000
K 0.5026 0.5026 0.0000
Tl 0.2266 0.7266 0.5000
Tl 0.9861 0.9861 0.0000

Entry 17:
Material: Sm2PuAgO8
Method: DFT, PBE-GGA
State: relaxed

Output
- Uncorrected energy: -7.79 eV/atom
- Space-group type: P-1, No. 2
- Energy relative to the elements, uncorrected: -2.271 eV/atom
- DOS at the Fermi energy: 0.016 states/eV/atom
- Spin magnetization: 1.0 μB per cell

abc: 4.2926 5.3524 7.5944
angles: 98.20 86.88 98.31
Element x y z (fractional)
O 0.9531 0.2069 0.7496
O 0.5960 0.7777 0.0107
O 0.0937 0.7331 0.8225
O 0.0469 0.7931 0.2504
O 0.9063 0.2669 0.1775
O 0.6278 0.7388 0.5393
O 0.4040 0.2223 0.9893
O 0.3722 0.2612 0.4607
Sm 0.5177 0.4503 0.7342
Sm 0.4823 0.5497 0.2658
Ag 0.0000 0.0000 0.5000
Pu 0.0000 0.0000 0.0000

Entry 18:
Material: Pr6ZnP2Br3
Method: DFT, PBE-GGA
State: relaxed

Output
- Uncorrected energy: -5.05 eV/atom
- Space-group type: C2/m, No. 12
- Energy relative to the elements, uncorrected: -1.231 eV/atom
- DOS at the Fermi energy: 0.515 states/eV/atom
- Spin magnetization: 0.0 μB per cell

abc: 4.1617 8.9586 9.8424
angles: 106.66 102.21 90.00
Element x y z (fractional)
Pr 0.3231 0.4457 0.6462
Pr 0.0100 0.2380 0.0200
Pr 0.6769 0.5543 0.3538
Pr 0.6605 0.1084 0.3211
Pr 0.9900 0.7620 0.9800
Pr 0.3395 0.8916 0.6789
P 0.1678 0.3320 0.3357
P 0.8322 0.6680 0.6643
Br 0.5000 0.5000 0.0000
Br 0.1664 0.8287 0.3328
Br 0.8336 0.1713 0.6672
Zn 0.5000 0.0000 0.0000

Entry 19:
Material: HfTeP2S
Method: DFT, PBE-GGA
State: relaxed

Output
- Uncorrected energy: -4.64 eV/atom
- Space-group type: P4/mmm, No. 123
- Energy relative to the elements, uncorrected: 0.968 eV/atom
- DOS at the Fermi energy: 0.706 states/eV/atom
- Spin magnetization: 0.0 μB per cell

abc: 4.9285 4.9285 4.8590
angles: 90.00 90.00 90.00
Element x y z (fractional)
S 0.0000 0.0000 0.5000
P 0.5000 0.0000 0.0000
P 0.0000 0.5000 0.0000
Te 0.0000 0.0000 0.0000
Hf 0.5000 0.5000 0.5000

Entry 20:
Material: La2HoEr3
Method: DFT, PBE-GGA
State: relaxed

Output
- Uncorrected energy: -4.49 eV/atom
- Space-group type: Cmc2_1, No. 36
- DFT formation energy: 0.199 eV per atom
- DOS at the Fermi energy: 1.632 states/eV/atom
- Spin magnetization: 0.0 μB per cell

abc: 6.6588 7.7775 7.7775
angles: 81.67 90.00 90.00
Element x y z (fractional)
La 0.4389 0.9239 0.5955
La 0.4389 0.5955 0.9239
La 0.9389 0.4045 0.0761
La 0.9389 0.0761 0.4045
Er 0.6658 0.6730 0.3258
Er 0.1658 0.3270 0.6742
Er 0.1658 0.6742 0.3270
Er 0.2945 0.0118 0.0118
Er 0.7945 0.9882 0.9882
Er 0.6658 0.3258 0.6730
Ho 0.9541 0.7244 0.7244
Ho 0.4541 0.2756 0.2756

Entry 21:
Material: Pr2NiH12Rh3
Method: DFT, PBE-GGA
State: relaxed

Output
- Uncorrected energy: -4.60 eV/atom
- Space-group type: R-3m, No. 166
- DOS at the Fermi energy: 0.395 states/eV/atom
- Spin magnetization: 0.0 μB per cell

abc: 5.9876 5.9876 5.9876
angles: 62.57 62.57 62.57
Element x y z (fractional)
Pr 0.3687 0.3687 0.3687
Pr 0.6313 0.6313 0.6313
H 0.3229 0.9134 0.9134
H 0.6557 0.0778 0.6557
H 0.6557 0.6557 0.0778
H 0.0866 0.6771 0.0866
H 0.9134 0.3229 0.9134
H 0.9222 0.3443 0.3443
H 0.9134 0.9134 0.3229
H 0.0866 0.0866 0.6771
H 0.3443 0.3443 0.9222
H 0.0778 0.6557 0.6557
H 0.6771 0.0866 0.0866
H 0.3443 0.9222 0.3443
Rh 0.0000 0.0000 0.5000
Rh 0.5000 0.0000 0.0000
Rh 0.0000 0.5000 0.0000
Ni 0.0000 0.0000 0.0000

Entry 22:
Material: SiSnSe3
Method: DFT, PBE-GGA
State: relaxed

Output
- Uncorrected energy: -3.32 eV/atom
- Space-group type: Pm-3m, No. 221
- Energy relative to the elements, uncorrected: 0.659 eV/atom
- DOS at the Fermi energy: 0.839 states/eV/atom
- Spin magnetization: 0.0 μB per cell

abc: 5.2451 5.2451 5.2451
angles: 90.00 90.00 90.00
Element x y z (fractional)
Se 0.0000 0.5000 0.0000
Se 0.0000 0.0000 0.5000
Se 0.5000 0.0000 0.0000
Si 0.5000 0.5000 0.5000
Sn 0.0000 0.0000 0.0000

Entry 23:
Material: Ca2Al3Zn2
Method: DFT, PBE-GGA
State: relaxed

Output
- Uncorrected energy: -2.79 eV/atom
- Space-group type: C2/m, No. 12
- DFT formation energy: -0.252 eV per atom
- DOS at the Fermi energy: 0.459 states/eV/atom
- Spin magnetization: 0.0 μB per cell

abc: 4.3328 5.8366 6.9668
angles: 113.95 90.00 111.79
Element x y z (fractional)
Zn 0.8556 0.7112 0.7542
Zn 0.1444 0.2888 0.2458
Al 0.6006 0.2012 0.4284
Al 0.5000 0.0000 0.0000
Al 0.3994 0.7988 0.5716
Ca 0.8485 0.6970 0.2210
Ca 0.1515 0.3030 0.7790

Entry 24:
Material: Li3Au
Method: DFT, PBE-GGA
State: relaxed

Output
- Uncorrected energy: -2.63 eV/atom
- Space-group type: Pm-3n, No. 223
- DFT formation energy: -0.374 eV per atom
- DOS at the Fermi energy: 0.546 states/eV/atom
- Spin magnetization: 0.0 μB per cell

abc: 5.0233 5.0233 5.0233
angles: 90.00 90.00 90.00
Element x y z (fractional)
Li 0.0000 0.2500 0.5000
Li 0.2500 0.5000 0.0000
Li 0.7500 0.5000 0.0000
Li 0.5000 0.0000 0.2500
Li 0.0000 0.7500 0.5000
Li 0.5000 0.0000 0.7500
Au 0.0000 0.0000 0.0000
Au 0.5000 0.5000 0.5000